[1]
{
  "formula": "ScGa3Fe2",
  "functional": "PBE",
  "state": "relaxed",
  "crystal_system": "trigonal",
  "dos_at_fermi_per_ev_cell": 9.77,
  "energy_ev_per_atom": -5.593,
  "mass_density_g_cm3": 6.6,
  "formation_energy_ev_per_atom": -0.204,
  "lattice_angstrom": [[-1.623, 2.105, -4.888], [-5.140, 2.049, -0.578], [-0.015, 7.541, 0.086]],
  "species": ["Fe", "Ga", "Ga", "Sc", "Ga", "Sc", "Ga", "Fe", "Ga", "Fe", "Fe", "Ga"],
  "frac_coords": [[0.500, 0.000, 0.000], [0.733, 0.240, 0.294], [0.267, 0.267, 0.706], [0.785, 0.785, 0.646], [0.267, 0.760, 0.706], [0.215, 0.215, 0.354], [0.760, 0.267, 0.706], [0.000, 0.000, 0.000], [0.733, 0.733, 0.294], [0.000, 0.500, 0.000], [0.500, 0.500, 0.000], [0.240, 0.733, 0.294]]
}

[2]
{
  "formula": "SiRh3",
  "functional": "PBE",
  "state": "relaxed",
  "e_form_raw_mev_per_atom": -389,
  "crystal_system": "tetragonal",
  "dos_at_fermi_per_ev_cell": 4.07,
  "energy_ev_per_atom": -7.259,
  "mass_density_g_cm3": 10.2,
  "lattice_angstrom": [[2.833, 0.000, 0.000], [0.000, 2.833, 0.000], [0.000, 0.000, 6.844]],
  "species": ["Rh", "Si", "Rh", "Rh"],
  "frac_coords": [[0.500, 0.500, 0.250], [0.500, 0.500, 0.750], [0.000, 0.000, 0.539], [0.000, 0.000, 0.961]]
}

[3]
{
  "formula": "Fe2RuRh",
  "functional": "PBE",
  "state": "relaxed",
  "crystal_system": "monoclinic",
  "dos_at_fermi_per_ev_cell": 5.37,
  "energy_ev_per_atom": -8.205,
  "mass_density_g_cm3": 9.7,
  "formation_energy_ev_per_atom": 0.183,
  "lattice_angstrom": [[-0.011, -4.406, -2.338], [2.464, 0.163, 4.334], [-1.529, -1.461, 1.568]],
  "species": ["Fe", "Fe", "Ru", "Rh"],
  "frac_coords": [[0.500, 0.500, 0.000], [0.000, 0.000, 0.000], [0.000, 0.500, 0.500], [0.500, 0.000, 0.500]]
}